Here is an optimized crystal structure of KAs3Pt3 from Alexandria via LeMat-Bulk. Energies are from PBE-GGA.

Geometry as POSCAR:
```
KAs3Pt3
1.0
-4.154 0.510 5.820
-6.776 -2.331 -0.217
-1.250 -7.781 4.205
K As Pt
2 6 6
Direct
0.333 0.333 0.000
0.667 0.667 0.000
0.224 0.575 0.301
0.900 0.224 0.301
0.575 0.900 0.301
0.425 0.100 0.699
0.100 0.776 0.699
0.776 0.425 0.699
0.467 0.788 0.616
0.788 0.129 0.616
0.129 0.467 0.616
0.871 0.533 0.384
0.212 0.871 0.384
0.533 0.212 0.384
```

- E_form: -2.799 eV/f.u.
- Calculated volume: 176.1 Å³/f.u.
- Final energy: -71.9 eV/cell
- SG: No. 148
- D(E_F): 0.335 states/eV per atom
- Theoretical density: 8.0 g/cm3